# 1
Compound: Cs4Hg3Cl10
Source: Alexandria via LeMat-Bulk
Functional: PBE-GGA
Structure: relaxed

Geometry as CIF:
```
data_Cs4Hg3Cl10
_chemical_formula_sum 'Cs8 Hg6 Cl20'
_space_group_name_H-M_alt 'I 4/m m m'
_space_group_IT_number 139
_space_group_name_Hall '-I 4 2'
_cell_length_a 5.436
_cell_length_b 5.436
_cell_length_c 38.422
_cell_angle_alpha 90.00
_cell_angle_beta 90.00
_cell_angle_gamma 90.00
loop_
_atom_site_label
_atom_site_fract_x
_atom_site_fract_y
_atom_site_fract_z
_atom_site_occupancy
Cs1 0.000 0.000 0.068 1
Cs2 0.000 0.000 0.199 1
Hg1 0.000 0.000 0.359 1
Hg2 0.000 0.000 0.500 1
Cl1 0.000 0.000 0.291 1
Cl2 0.000 0.000 0.430 1
Cl3 0.000 0.500 0.000 1
Cl4 0.000 0.500 0.138 1
```

Properties
Formation energy from raw total energies ... -1.271 eV/atom
Fermi-level density of states ... 2.3 states/eV/f.u.

---

# 2
Compound: Ac8Co2N
Source: Alexandria via LeMat-Bulk
Functional: PBE-GGA
Structure: relaxed

Geometry as CIF:
```
data_Ac8Co2N
_chemical_formula_sum 'Ac16 Co4 N2'
_space_group_name_H-M_alt 'C 1 2/m 1'
_space_group_IT_number 12
_cell_length_a 19.711
_cell_length_b 3.921
_cell_length_c 9.630
_cell_angle_alpha 90.00
_cell_angle_beta 93.12
_cell_angle_gamma 90.00
loop_
_space_group_symop_operation_xyz
'x,y,z'
'-x,-y,-z'
'-x,y,-z'
'x,-y,z'
'x+1/2,y+1/2,z'
'-x+1/2,-y+1/2,-z'
'-x+1/2,y+1/2,-z'
'x+1/2,-y+1/2,z'
loop_
_atom_site_label
_atom_site_fract_x
_atom_site_fract_y
_atom_site_fract_z
_atom_site_occupancy
Ac1 0.017 0.000 0.187 1
Ac2 0.099 0.500 0.551 1
Ac3 0.142 0.500 0.962 1
Ac4 0.225 0.000 0.319 1
Co1 0.159 0.000 0.740 1
N1 0.000 0.500 0.000 1
```

Properties
Formation energy from raw total energies ... -0.168 eV/atom
Fermi-level density of states ... 13.4 states/eV/f.u.

---

# 3
Compound: ZrCrCl2
Source: Alexandria via LeMat-Bulk
Functional: PBE-GGA
Structure: relaxed

Geometry as CIF:
```
data_ZrCrCl2
_chemical_formula_sum 'Zr1 Cr1 Cl2'
_space_group_name_H-M_alt 'P 4/m m m'
_space_group_IT_number 123
_space_group_name_Hall '-P 4 2'
_cell_length_a 4.459
_cell_length_b 4.459
_cell_length_c 3.557
_cell_angle_alpha 90.00
_cell_angle_beta 90.00
_cell_angle_gamma 90.00
loop_
_atom_site_label
_atom_site_fract_x
_atom_site_fract_y
_atom_site_fract_z
_atom_site_occupancy
Zr1 0.000 0.000 0.000 1
Cr1 0.500 0.500 0.000 1
Cl1 0.000 0.500 0.500 1
```

Properties
Formation energy from raw total energies ... -0.070 eV/atom
Fermi-level density of states ... 2.3 states/eV/f.u.
E above lowest polymorph ... 0.618 eV per atom